## one
The following is a GGA-PBEsol calculation of a relaxed Ta2BeIn crystal, from Alexandria via LeMat-Bulk.

Summary:
**Theoretical density**: 12.4 g/cm³
**Total magnetic moment**: 0.00 μB/f.u.
**Volume**: 16.321 Å³ per atom
**N(E_F)**: 0.774 states/eV/atom

a = 4.5197 Å, b = 4.5197 Å, c = 4.5197 Å
α = 60.00°, β = 60.00°, γ = 60.00°
Last column: nearest neighbours and their distance in Å.
Sites, in units of the cell vectors:
In  0.5000  0.5000  0.5000  8 Ta 2.77
Be  0.0000  0.0000  0.0000  8 Ta 2.77
Ta  0.2500  0.2500  0.2500  4 Be 2.77, 4 In 2.77
Ta  0.7500  0.7500  0.7500  4 In 2.77, 4 Be 2.77

---

## two
The following is a GGA-PBEsol calculation of a relaxed Ta2BeIn crystal, from Alexandria via LeMat-Bulk.

Summary:
**Theoretical density**: 11.7 g/cm³
**Total magnetic moment**: 0.00 μB/f.u.
**Volume**: 17.178 Å³ per atom
**N(E_F)**: 0.546 states/eV/atom

a = 3.4037 Å, b = 3.4037 Å, c = 5.9307 Å
α = 90.00°, β = 90.00°, γ = 90.00°
Last column: nearest neighbours and their distance in Å.
Sites, in units of the cell vectors:
In  0.5000  0.5000  0.7355  6 Ta 2.87-3.06, 4 Be 2.87
Ta  0.0000  0.0000  0.0421  1 Be 2.54, 4 Ta 2.71
Ta  0.5000  0.5000  0.2517  4 Ta 2.71, 4 Be 2.73, 1 In 2.87
Be  0.0000  0.0000  0.4707  5 Ta 2.54-2.73

---

Which is the most stable structure? two is the most stable.

---

## one
The following is a GGA-PBEsol calculation of a relaxed Ta2BeIn crystal, from Alexandria via LeMat-Bulk.

Summary:
**Theoretical density**: 12.3 g/cm³
**Total magnetic moment**: 0.00 μB/f.u.
**Volume**: 16.381 Å³ per atom
**N(E_F)**: 0.501 states/eV/atom

a = 2.8676 Å, b = 3.9856 Å, c = 5.7332 Å
α = 90.00°, β = 90.00°, γ = 90.00°
Last column: nearest neighbours and their distance in Å.
Sites, in units of the cell vectors:
In  0.5000  0.5000  0.5000  2 Be 2.87, 2 In 2.87, 8 Ta 2.90
Be  0.5000  0.5000  0.0000  8 Ta 2.79, 2 In 2.87, 2 Be 2.87
Ta  0.0000  0.0000  0.7693  3 Ta 2.65-2.87, 4 Be 2.79, 4 In 2.90
Ta  0.0000  0.0000  0.2307  3 Ta 2.65-2.87, 4 Be 2.79, 4 In 2.90

---

## two
The following is a GGA-PBEsol calculation of a relaxed Ta2BeIn crystal, from Alexandria via LeMat-Bulk.

Summary:
**Theoretical density**: 12.6 g/cm³
**Total magnetic moment**: 0.00 μB/f.u.
**Volume**: 15.966 Å³ per atom
**N(E_F)**: 0.304 states/eV/atom

a = 2.8566 Å, b = 2.8566 Å, c = 7.8267 Å
α = 90.00°, β = 90.00°, γ = 90.00°
Last column: nearest neighbours and their distance in Å.
Sites, in units of the cell vectors:
Ta  0.0000  0.0000  0.2067  4 Be 2.59, 4 Ta 2.86
Ta  0.0000  0.0000  0.7933  4 Be 2.59, 4 Ta 2.86
Be  0.5000  0.5000  0.0000  8 Ta 2.59, 4 Be 2.86
In  0.5000  0.5000  0.5000  4 In 2.86, 8 Ta 3.06

---

Which is the most stable structure? two is the most stable.

---

## one
The following is a GGA-PBEsol calculation of a relaxed Be2InTe crystal, from Alexandria via LeMat-Bulk.

Summary:
**Theoretical density**: 5.8 g/cm³
**Total magnetic moment**: 0.00 μB/f.u.
**Volume**: 18.615 Å³ per atom
**N(E_F)**: 0.334 states/eV/atom

a = 3.6323 Å, b = 4.7078 Å, c = 4.7078 Å
α = 100.63°, β = 102.47°, γ = 102.47°
Last column: nearest neighbours and their distance in Å.
Sites, in units of the cell vectors:
Te  0.5000  0.5000  0.5000  4 Be 2.64
In  0.5000  0.0000  0.0000  4 Be 2.64
Be  0.0000  0.0000  0.5000  2 Te 2.64, 2 In 2.64
Be  0.0000  0.5000  0.0000  2 In 2.64, 2 Te 2.64

---

## two
The following is a GGA-PBEsol calculation of a relaxed Be2InTe crystal, from Alexandria via LeMat-Bulk.

Summary:
**Theoretical density**: 4.9 g/cm³
**Total magnetic moment**: 0.00 μB/f.u.
**Volume**: 22.040 Å³ per atom
**N(E_F)**: 0.550 states/eV/atom

a = 6.0198 Å, b = 6.4647 Å, c = 6.0198 Å
α = 62.25°, β = 90.00°, γ = 117.75°
Last column: nearest neighbours and their distance in Å.
Sites, in units of the cell vectors:
In  0.2500  0.5000  0.2500  4 Be 2.52
In  0.5000  0.0000  0.5000  4 Be 2.52
Be  0.1057  0.7500  0.8750  2 Te 2.38, 2 In 2.52
Be  0.8750  0.2500  0.6443  2 Te 2.38, 2 In 2.52
Be  0.6443  0.7500  0.3750  2 Te 2.38, 2 In 2.52
Be  0.3750  0.2500  0.1057  2 Te 2.38, 2 In 2.52
Te  0.0000  0.0000  0.0000  4 Be 2.38
Te  0.7500  0.5000  0.7500  4 Be 2.38

---

Which is the most stable structure? two is the most stable.

---

## one
The following is a GGA-PBEsol calculation of a relaxed Zr2BeIn crystal, from Alexandria via LeMat-Bulk.

Summary:
**Theoretical density**: 7.0 g/cm³
**Total magnetic moment**: 0.00 μB/f.u.
**Volume**: 18.227 Å³ per atom
**N(E_F)**: 0.672 states/eV/atom

a = 2.9955 Å, b = 2.9955 Å, c = 8.1249 Å
α = 90.00°, β = 90.00°, γ = 90.00°
Last column: nearest neighbours and their distance in Å.
Sites, in units of the cell vectors:
In  0.5000  0.5000  0.5000  4 In 3.00, 8 Zr 3.17
Zr  0.0000  0.0000  0.7908  4 Be 2.72, 4 Zr 3.00
Zr  0.0000  0.0000  0.2092  4 Be 2.72, 4 Zr 3.00
Be  0.5000  0.5000  0.0000  8 Zr 2.72, 4 Be 3.00

---

## two
The following is a GGA-PBEsol calculation of a relaxed Zr2BeIn crystal, from Alexandria via LeMat-Bulk.

Summary:
**Theoretical density**: 6.5 g/cm³
**Total magnetic moment**: 0.00 μB/f.u.
**Volume**: 19.423 Å³ per atom
**N(E_F)**: 0.681 states/eV/atom

a = 3.1811 Å, b = 4.0398 Å, c = 6.0457 Å
α = 90.00°, β = 90.00°, γ = 90.00°
Last column: nearest neighbours and their distance in Å.
Sites, in units of the cell vectors:
Be  0.0000  0.0000  0.4793  5 Zr 2.83-2.87, 4 In 3.02
In  0.5000  0.5000  0.7420  6 Zr 2.87-3.18, 4 Be 3.02, 2 In 3.18
Zr  0.0000  0.0000  0.0109  1 Be 2.83, 4 Zr 3.00, 4 In 3.04
Zr  0.5000  0.5000  0.2678  2 In 2.87-3.18, 4 Be 2.87, 6 Zr 3.00-3.18

---

Which is the most stable structure? one is the most stable.